No. 1
The following is a DFT calculation (PBE) of a geometry-optimized Ba2CaSn3Pd4 structure.

Values from the calculation:
Space group = P-4m2 (115)
Spin magnetization = 0.0 Bohr magnetons per cell
Energy relative to the elements = -7.24 eV/f.u.

Cell: 4.772 4.772 11.318 Å, 90.00 90.00 90.00°
Positions (direct):
Ba (0.000, 0.500, 0.235)
Ba (0.500, 0.000, 0.765)
Ca (0.000, 0.000, 0.500)
Sn (0.000, 0.500, 0.885)
Sn (0.500, 0.000, 0.115)
Sn (0.500, 0.500, 0.500)
Pd (0.000, 0.000, 0.000)
Pd (0.000, 0.500, 0.642)
Pd (0.500, 0.000, 0.358)
Pd (0.500, 0.500, 0.000)


No. 2
The following is a DFT calculation (PBE) of a geometry-optimized Cs4K2Pt structure.

Values from the calculation:
Space group = C2/m (12)
Spin magnetization = 0.0 Bohr magnetons per cell
Energy relative to the elements = 0.18 eV/f.u.
Polymorph energy (0 for the lowest one) = 7 meV per atom

Cell: 9.617 9.617 9.320 Å, 114.19 114.19 38.73°
Positions (direct):
Cs (0.035, 0.035, 0.230)
Cs (0.370, 0.370, 0.199)
Cs (0.630, 0.630, 0.801)
Cs (0.965, 0.965, 0.770)
K (0.310, 0.310, 0.706)
K (0.690, 0.690, 0.294)
Pt (0.500, 0.500, 0.000)


No. 3
The following is a DFT calculation (PBE) of a geometry-optimized NdHfCo10 structure.

Values from the calculation:
Space group = Pmmm (47)
Spin magnetization = 13.5 Bohr magnetons per cell
Energy relative to the elements = -0.94 eV/f.u.

Cell: 3.969 4.849 8.470 Å, 90.00 90.00 90.00°
Positions (direct):
Nd (0.000, 0.000, 0.000)
Hf (0.000, 0.500, 0.500)
Co (0.000, 0.000, 0.346)
Co (0.000, 0.000, 0.654)
Co (0.000, 0.500, 0.186)
Co (0.000, 0.500, 0.814)
Co (0.500, 0.000, 0.500)
Co (0.500, 0.257, 0.261)
Co (0.500, 0.257, 0.739)
Co (0.500, 0.500, 0.000)
Co (0.500, 0.743, 0.261)
Co (0.500, 0.743, 0.739)


Among the records above, which one has the lowest energy relative to the elements? Ba2CaSn3Pd4


What did the third record say?
The following is a DFT calculation (PBE) of a geometry-optimized NdHfCo10 structure.

Values from the calculation:
Space group = Pmmm (47)
Spin magnetization = 13.5 Bohr magnetons per cell
Energy relative to the elements = -0.94 eV/f.u.

Cell: 3.969 4.849 8.470 Å, 90.00 90.00 90.00°
Positions (direct):
Nd (0.000, 0.000, 0.000)
Hf (0.000, 0.500, 0.500)
Co (0.000, 0.000, 0.346)
Co (0.000, 0.000, 0.654)
Co (0.000, 0.500, 0.186)
Co (0.000, 0.500, 0.814)
Co (0.500, 0.000, 0.500)
Co (0.500, 0.257, 0.261)
Co (0.500, 0.257, 0.739)
Co (0.500, 0.500, 0.000)
Co (0.500, 0.743, 0.261)
Co (0.500, 0.743, 0.739)